No. 1
# LaSc2Si

Crystalline LaSc2Si at its relaxed geometry (GGA-PBE, the Alexandria database).

```
LaSc2Si
1.0
5.5878 0.0058 0.0000
1.9811 5.2248 0.0000
-3.7845 -2.6153 3.1720
Sc Si La
2 1 1
direct
0.0000 0.0000 0.0000
0.5000 0.5000 0.0000
0.2500 0.7500 0.5000
0.7500 0.2500 0.5000
```

Summary:
Electronic total energy, eV/cell: -23.7



No. 2
# YTi2Pt

Crystalline YTi2Pt at its relaxed geometry (GGA-PBE, the Alexandria database).

```
YTi2Pt
1.0
7.0516 0.0000 -0.0004
0.0000 4.4526 0.0000
-1.6143 0.0000 10.1803
Pt Ti Y
4 8 4
direct
0.3544 0.0000 0.7706
0.8641 0.0000 0.1367
0.3544 0.5000 0.2706
0.8641 0.5000 0.6367
0.0563 0.5000 0.0843
0.2539 0.0000 0.0081
0.1580 0.0000 0.3159
0.5428 0.5000 0.7270
0.1580 0.5000 0.8159
0.5428 0.0000 0.2270
0.0563 0.0000 0.5843
0.2539 0.5000 0.5081
0.8436 0.5000 0.3559
0.8436 0.0000 0.8559
0.5597 0.0000 0.5218
0.5597 0.5000 0.0218
```

Summary:
Relative energy among the computed polymorphs, kJ per mole of atoms: 0.0
ΔE_f, eV per formula unit: -2.079



No. 3
# HoGe2Rh4

Crystalline HoGe2Rh4 at its relaxed geometry (GGA-PBE, the Alexandria database).

```
HoGe2Rh4
1.0
3.7063 -0.0009 -0.8548
-0.1976 3.7013 -0.8537
0.2177 0.2324 9.4154
Rh Ge Ho
4 2 1
direct
0.2500 0.7500 0.5000
0.8602 0.8599 0.7201
0.7500 0.2500 0.5000
0.1398 0.1401 0.2799
0.3503 0.3501 0.7005
0.6497 0.6499 0.2995
0.0000 0.0000 0.0000
```

Summary:
Relative energy among the computed polymorphs, kJ per mole of atoms: 51.3
ΔE_f, eV per formula unit: -1.156



No. 4
# RbCaTa

Crystalline RbCaTa at its relaxed geometry (GGA-PBE, the Alexandria database).

```
RbCaTa
1.0
-3.7147 0.5052 -5.6667
-2.4594 -3.3281 5.3889
-4.8668 10.2408 4.1034
Ta Rb Ca
2 2 2
direct
0.0000 0.0000 0.5000
0.0000 0.0000 0.0000
0.3333 0.6667 0.2500
0.6667 0.3333 0.7500
0.0000 0.0000 0.7500
0.0000 0.0000 0.2500
```

Summary:
Relative energy among the computed polymorphs, kJ per mole of atoms: 194.7
ΔE_f, eV per formula unit: 7.249